# Ac2Pm5Si4 PBE optimized geometry
# Space-group type = No. 12
# Density = 6.53 g/cm³
# Energy relative to the elements, uncorrected = -0.347 eV/atom
# Energy = -5.226 eV per atom
data_Ac2Pm5Si4
_chemical_formula_sum 'Ac2 Pm5 Si4'
_space_group_name_H-M_alt 'P 1'
_space_group_IT_number 1
_cell_length_a 7.6476
_cell_length_b 7.6476
_cell_length_c 9.1174
_cell_angle_alpha 124.94
_cell_angle_beta 124.94
_cell_angle_gamma 53.29
loop_
_space_group_symop_operation_xyz
'x,y,z'
loop_
_atom_site_label
_atom_site_type_symbol
_atom_site_fract_x
_atom_site_fract_y
_atom_site_fract_z
Ac1 Ac 0.2080 0.2080 0.1507
Ac2 Ac 0.7920 0.7920 0.8493
Pm1 Pm 0.1913 0.7204 0.6268
Pm2 Pm 0.2796 0.8087 0.3732
Pm3 Pm 0.5000 0.5000 0.0000
Pm4 Pm 0.7204 0.1913 0.6268
Pm5 Pm 0.8087 0.2796 0.3732
Si1 Si 0.1987 0.1987 0.7757
Si2 Si 0.2762 0.2762 0.6014
Si3 Si 0.7238 0.7238 0.3986
Si4 Si 0.8013 0.8013 0.2243

=====

# Sm2LuIn PBE optimized geometry
# Space-group type = No. 225
# Density = 8.39 g/cm³
# Energy = -4.333 eV per atom
# Formation energy from the elements = -0.63 eV per formula unit
# E above lowest polymorph = 105 meV/atom
data_Sm2LuIn
_chemical_formula_sum 'Sm2 Lu1 In1'
_space_group_name_H-M_alt 'P 1'
_space_group_IT_number 1
_cell_length_a 5.4871
_cell_length_b 5.4871
_cell_length_c 5.4871
_cell_angle_alpha 60.00
_cell_angle_beta 60.00
_cell_angle_gamma 60.00
loop_
_space_group_symop_operation_xyz
'x,y,z'
loop_
_atom_site_label
_atom_site_type_symbol
_atom_site_fract_x
_atom_site_fract_y
_atom_site_fract_z
Sm1 Sm 0.2500 0.2500 0.2500
Sm2 Sm 0.7500 0.7500 0.7500
Lu1 Lu 0.0000 0.0000 0.0000
In1 In 0.5000 0.5000 0.5000

=====

# Pr6SmTm4 PBE optimized geometry
# Space-group type = No. 121
# Density = 7.21 g/cm³
# Energy = -4.376 eV per atom
# Formation energy from the elements = 3.14 eV per formula unit
data_Pr6SmTm4
_chemical_formula_sum 'Pr6 Sm1 Tm4'
_space_group_name_H-M_alt 'P 1'
_space_group_IT_number 1
_cell_length_a 10.0034
_cell_length_b 10.0034
_cell_length_c 10.0034
_cell_angle_alpha 141.52
_cell_angle_beta 141.52
_cell_angle_gamma 55.56
loop_
_space_group_symop_operation_xyz
'x,y,z'
loop_
_atom_site_label
_atom_site_type_symbol
_atom_site_fract_x
_atom_site_fract_y
_atom_site_fract_z
Pr1 Pr 0.0000 0.5000 0.5000
Pr2 Pr 0.1821 0.1821 0.6435
Pr3 Pr 0.4614 0.8179 0.0000
Pr4 Pr 0.5000 0.0000 0.5000
Pr5 Pr 0.5386 0.5386 0.3565
Pr6 Pr 0.8179 0.4614 0.0000
Sm1 Sm 0.0000 0.0000 0.0000
Tm1 Tm 0.0108 0.6445 0.0000
Tm2 Tm 0.3555 0.3555 0.3663
Tm3 Tm 0.6445 0.0108 0.0000
Tm4 Tm 0.9892 0.9892 0.6337

=====

# FeRu2Se PBE optimized geometry
# Space-group type = No. 12
# Density = 9.75 g/cm³
# Energy relative to the elements, uncorrected = 0.287 eV/atom
# Energy = -7.337 eV per atom
data_FeRu2Se
_chemical_formula_sum 'Fe1 Ru2 Se1'
_space_group_name_H-M_alt 'P 1'
_space_group_IT_number 1
_cell_length_a 4.3617
_cell_length_b 4.3617
_cell_length_c 4.8566
_cell_angle_alpha 99.64
_cell_angle_beta 99.64
_cell_angle_gamma 39.12
loop_
_space_group_symop_operation_xyz
'x,y,z'
loop_
_atom_site_label
_atom_site_type_symbol
_atom_site_fract_x
_atom_site_fract_y
_atom_site_fract_z
Fe1 Fe 0.0000 0.0000 0.0000
Ru1 Ru 0.2546 0.2546 0.7566
Ru2 Ru 0.7454 0.7454 0.2434
Se1 Se 0.5000 0.5000 0.5000

=====

# AcTaCo2H8 PBE optimized geometry
# Space-group type = No. 166
# Density = 8.72 g/cm³
# Energy = -4.919 eV per atom
data_AcTaCo2H8
_chemical_formula_sum 'Ac1 Ta1 Co2 H8'
_space_group_name_H-M_alt 'P 1'
_space_group_IT_number 1
_cell_length_a 6.1903
_cell_length_b 6.1903
_cell_length_c 6.1903
_cell_angle_alpha 43.42
_cell_angle_beta 43.42
_cell_angle_gamma 43.42
loop_
_space_group_symop_operation_xyz
'x,y,z'
loop_
_atom_site_label
_atom_site_type_symbol
_atom_site_fract_x
_atom_site_fract_y
_atom_site_fract_z
Ac1 Ac 0.0000 0.0000 0.0000
Ta1 Ta 0.5000 0.5000 0.5000
Co1 Co 0.2152 0.2152 0.2152
Co2 Co 0.7848 0.7848 0.7848
H1 H 0.1100 0.5622 0.5622
H2 H 0.3077 0.3077 0.3077
H3 H 0.4378 0.4378 0.8900
H4 H 0.4378 0.8900 0.4378
H5 H 0.5622 0.1100 0.5622
H6 H 0.5622 0.5622 0.1100
H7 H 0.6923 0.6923 0.6923
H8 H 0.8900 0.4378 0.4378

=====

# LiGe2Ir PBE optimized geometry
# Space-group type = No. 122
# Density = 7.39 g/cm³
# Energy = -5.025 eV per atom
# Formation energy from the elements = -0.09 eV per formula unit
# E above lowest polymorph = 321 meV/atom
data_LiGe2Ir
_chemical_formula_sum 'Li2 Ge4 Ir2'
_space_group_name_H-M_alt 'P 1'
_space_group_IT_number 1
_cell_length_a 6.0972
_cell_length_b 6.0972
_cell_length_c 6.0972
_cell_angle_alpha 99.70
_cell_angle_beta 99.70
_cell_angle_gamma 131.52
loop_
_space_group_symop_operation_xyz
'x,y,z'
loop_
_atom_site_label
_atom_site_type_symbol
_atom_site_fract_x
_atom_site_fract_y
_atom_site_fract_z
Li1 Li 0.0000 0.0000 0.0000
Li2 Li 0.7500 0.2500 0.5000
Ge1 Ge 0.2092 0.6250 0.0842
Ge2 Ge 0.3750 0.4592 0.5842
Ge3 Ge 0.5408 0.1250 0.9158
Ge4 Ge 0.8750 0.7908 0.4158
Ir1 Ir 0.2500 0.7500 0.5000
Ir2 Ir 0.5000 0.5000 0.0000